# LaPuSnAu | Alexandria | PBE | optimized geometry
data_LaPuSnAu
_cell_length_a 5.393
_cell_length_b 5.393
_cell_length_c 5.393
_cell_angle_alpha 60.00
_cell_angle_beta 60.00
_cell_angle_gamma 60.00
_space_group_name_H-M_alt 'P 1'
_space_group_IT_number 1
_space_group_name_Hall 'P 1'
loop_
_atom_site_label
_atom_site_fract_x
_atom_site_fract_y
_atom_site_fract_z
_atom_site_occupancy
La1 0.000 0.000 0.000 1
Pu1 0.500 0.500 0.500 1
Sn1 0.250 0.250 0.250 1
Au1 0.750 0.750 0.750 1
# ρ: 10.461 g cm⁻³
# Calculated volume: 27.72 Å³/atom
# ΔE_f: -532 meV/atom
# Symmetry: F-43m, No. 216